#1
VASP calculation (PBE-GGA) on a geometry-optimized ErScRh structure.

## Properties
Symmetry ... No. 156

Cell lengths 4.5461, 4.5461, 3.5619 Å; angles 90.00, 90.00, 120.00 degrees
Closest atoms and distances in Å follow each position.
Atoms (fractional coordinates):
1 Er 0.0000 0.0000 0.0000  3 Rh 2.85, 3 Sc 3.09
2 Sc 0.6667 0.3333 0.4570  3 Rh 2.75
3 Rh 0.3333 0.6667 0.6872  3 Sc 2.75, 3 Er 2.85

---

#2
VASP calculation (PBE-GGA) on a geometry-optimized ErScRh structure.

## Properties
Symmetry ... No. 107

Cell lengths 6.5051, 6.5051, 6.5051 Å; angles 150.61, 150.61, 42.04 degrees
Closest atoms and distances in Å follow each position.
Atoms (fractional coordinates):
1 Er 0.0000 0.0000 0.0000  4 Rh 2.93, 1 Sc 3.28
2 Sc 0.2701 0.2701 0.0000  4 Rh 2.78
3 Rh 0.6464 0.6464 0.0000  4 Sc 2.78, 4 Er 2.93

---

#3
VASP calculation (PBE-GGA) on a geometry-optimized ErScRh structure.

## Properties
Symmetry ... No. 38

Cell lengths 4.4808, 7.0860, 7.0860 Å; angles 120.05, 90.00, 90.00 degrees
Closest atoms and distances in Å follow each position.
Atoms (fractional coordinates):
1 Er 0.0000 0.0000 0.0000  5 Rh 2.91-3.10, 2 Sc 3.25
2 Er 0.0000 0.1777 0.5887  5 Rh 2.91-3.10, 2 Sc 3.25
3 Er 0.0000 0.5887 0.1777  5 Rh 2.91-3.10, 2 Sc 3.25
4 Sc 0.5000 0.3324 0.3324  4 Rh 2.67-2.88
5 Sc 0.5000 0.5892 0.8453  4 Rh 2.68-2.88
6 Sc 0.5000 0.8453 0.5892  4 Rh 2.68-2.88
7 Rh 0.0000 0.5889 0.5889  6 Sc 2.88, 3 Er 2.91
8 Rh 0.5000 0.2560 0.9225  3 Sc 2.67-2.68
9 Rh 0.5000 0.9225 0.2560  3 Sc 2.67-2.68

---

Which structure is the most stable? The one labeled #3.

---

#1
VASP calculation (PBE-GGA) on a geometry-optimized ErScZnRh structure.

## Properties
Symmetry ... No. 216

Cell lengths 4.7723, 4.7723, 4.7723 Å; angles 60.00, 60.00, 60.00 degrees
Closest atoms and distances in Å follow each position.
Atoms (fractional coordinates):
1 Er 0.0000 0.0000 0.0000  4 Rh 2.92, 4 Zn 2.92
2 Sc 0.5000 0.5000 0.5000  4 Zn 2.92, 4 Rh 2.92
3 Zn 0.7500 0.7500 0.7500  4 Er 2.92, 4 Sc 2.92
4 Rh 0.2500 0.2500 0.2500  4 Sc 2.92, 4 Er 2.92

---

#2
VASP calculation (PBE-GGA) on a geometry-optimized ErScZnRh structure.

## Properties
Symmetry ... No. 99

Cell lengths 3.3754, 3.3754, 6.8170 Å; angles 90.00, 90.00, 90.00 degrees
Closest atoms and distances in Å follow each position.
Atoms (fractional coordinates):
1 Er 0.0000 0.0000 0.0000  4 Rh 2.94, 4 Zn 3.10, 1 Sc 3.20
2 Sc 0.0000 0.0000 0.5307  4 Rh 2.81, 4 Zn 2.90
3 Zn 0.5000 0.5000 0.2897  4 Sc 2.90, 4 Er 3.10, 1 Rh 3.12
4 Rh 0.5000 0.5000 0.7477  4 Sc 2.81, 4 Er 2.94, 1 Zn 3.12

---

Which structure is the most stable? The one labeled #2.

---

#1
VASP calculation (PBE-GGA) on a geometry-optimized Er3Si8Rh3 structure.

## Properties
Symmetry ... No. 12

Cell lengths 7.6772, 7.6772, 8.6082 Å; angles 118.04, 118.04, 31.27 degrees
Closest atoms and distances in Å follow each position.
Atoms (fractional coordinates):
1 Er 0.0000 0.0000 0.0000  8 Si 2.83-2.97
2 Er 0.2980 0.2980 0.3508  9 Si 2.84-3.09
3 Er 0.7020 0.7020 0.6492  9 Si 2.84-3.09
4 Si 0.1133 0.1133 0.3759  1 Rh 2.39, 2 Si 2.43
5 Si 0.1357 0.1357 0.8406  4 Rh 2.41-2.62, 2 Si 2.59
6 Si 0.3627 0.3627 0.7482  1 Rh 2.39, 3 Si 2.43-2.46
7 Si 0.4830 0.4830 0.2894  5 Si 2.46-2.67, 3 Rh 2.54-2.68
8 Si 0.5170 0.5170 0.7106  5 Si 2.46-2.67, 3 Rh 2.54-2.68
9 Si 0.6373 0.6373 0.2518  1 Rh 2.39, 3 Si 2.43-2.46
10 Si 0.8643 0.8643 0.1594  4 Rh 2.41-2.62, 2 Si 2.59
11 Si 0.8867 0.8867 0.6241  1 Rh 2.39, 2 Si 2.43
12 Rh 0.0000 0.0000 0.5000  4 Si 2.39-2.62
13 Rh 0.3221 0.3221 0.9854  5 Si 2.39-2.54
14 Rh 0.6779 0.6779 0.0146  5 Si 2.39-2.54

---

#2
VASP calculation (PBE-GGA) on a geometry-optimized Er3Si8Rh3 structure.

## Properties
Symmetry ... No. 71

Cell lengths 7.7383, 7.7383, 7.7383 Å; angles 148.74, 104.85, 83.62 degrees
Closest atoms and distances in Å follow each position.
Atoms (fractional coordinates):
1 Er 0.0000 0.0000 0.0000  12 Si 3.09, 4 Rh 3.32
2 Er 0.3131 0.3131 0.0000  8 Si 2.94-2.97, 4 Rh 3.00-3.04
3 Er 0.6869 0.6869 0.0000  8 Si 2.94-2.97, 4 Rh 3.00-3.04
4 Si 0.0392 0.6679 0.3713  1 Rh 2.37, 4 Si 2.43-2.61
5 Si 0.1603 0.8725 0.2878  3 Rh 2.48-2.56, 3 Si 2.49-2.61
6 Si 0.2966 0.6679 0.6287  1 Rh 2.37, 4 Si 2.43-2.61
7 Si 0.4153 0.1275 0.2878  3 Rh 2.48-2.56, 3 Si 2.49-2.61
8 Si 0.5847 0.8725 0.7122  3 Rh 2.48-2.56, 3 Si 2.49-2.61
9 Si 0.7034 0.3321 0.3713  1 Rh 2.37, 4 Si 2.43-2.61
10 Si 0.8397 0.1275 0.7122  3 Rh 2.48-2.56, 3 Si 2.49-2.61
11 Si 0.9608 0.3321 0.6287  1 Rh 2.37, 4 Si 2.43-2.61
12 Rh 0.2735 0.5000 0.7735  6 Si 2.37-2.56
13 Rh 0.5000 0.0000 0.5000  4 Si 2.48
14 Rh 0.7265 0.5000 0.2265  6 Si 2.37-2.56

---

Which structure is the most stable? The one labeled #1.

---

#1
VASP calculation (PBE-GGA) on a geometry-optimized ErSi2Rh4 structure.

## Properties
Symmetry ... No. 62

Cell lengths 16.6192, 4.0283, 6.3769 Å; angles 90.00, 90.00, 90.00 degrees
Closest atoms and distances in Å follow each position.
Atoms (fractional coordinates):
1 Er 0.1380 0.2500 0.0059  8 Rh 2.83-3.13, 4 Si 3.06-3.13
2 Er 0.3620 0.7500 0.5059  8 Rh 2.83-3.13, 4 Si 3.06-3.13
3 Er 0.6380 0.2500 0.4941  8 Rh 2.83-3.13, 4 Si 3.06-3.13
4 Er 0.8620 0.7500 0.9941  8 Rh 2.83-3.13, 4 Si 3.06-3.13
5 Si 0.0391 0.7500 0.2600  7 Rh 2.42-2.61
6 Si 0.2180 0.2500 0.5247  7 Rh 2.37-2.50
7 Si 0.2820 0.7500 0.0247  7 Rh 2.37-2.50
8 Si 0.4609 0.2500 0.7600  7 Rh 2.42-2.61
9 Si 0.5391 0.7500 0.2400  7 Rh 2.42-2.61
10 Si 0.7180 0.2500 0.9753  7 Rh 2.37-2.50
11 Si 0.7820 0.7500 0.4753  7 Rh 2.37-2.50
12 Si 0.9609 0.2500 0.7400  7 Rh 2.42-2.61
13 Rh 0.0299 0.7500 0.8555  3 Si 2.43-2.58
14 Rh 0.0750 0.2500 0.5030  4 Si 2.38-2.61
15 Rh 0.1839 0.7500 0.3095  4 Si 2.43-2.50, 1 Rh 2.70
16 Rh 0.1949 0.7500 0.7314  3 Si 2.37-2.44
17 Rh 0.3051 0.2500 0.2314  3 Si 2.37-2.44
18 Rh 0.3161 0.2500 0.8095  4 Si 2.43-2.50, 1 Rh 2.70
19 Rh 0.4250 0.7500 0.0030  4 Si 2.38-2.61
20 Rh 0.4701 0.2500 0.3555  3 Si 2.43-2.58
21 Rh 0.5299 0.7500 0.6445  3 Si 2.43-2.58
22 Rh 0.5750 0.2500 0.9970  4 Si 2.38-2.61
23 Rh 0.6839 0.7500 0.1905  4 Si 2.43-2.50, 1 Rh 2.70
24 Rh 0.6949 0.7500 0.7686  3 Si 2.37-2.44
25 Rh 0.8051 0.2500 0.2686  3 Si 2.37-2.44
26 Rh 0.8161 0.2500 0.6905  4 Si 2.43-2.50, 1 Rh 2.70
27 Rh 0.9250 0.7500 0.4970  4 Si 2.38-2.61
28 Rh 0.9701 0.2500 0.1445  3 Si 2.43-2.58

---

#2
VASP calculation (PBE-GGA) on a geometry-optimized ErSi2Rh4 structure.

## Properties
Symmetry ... No. 136

Cell lengths 7.6431, 7.6431, 3.7386 Å; angles 90.00, 90.00, 90.00 degrees
Closest atoms and distances in Å follow each position.
Atoms (fractional coordinates):
1 Er 0.0000 0.0000 0.0000  6 Si 2.92-3.11, 8 Rh 3.17
2 Er 0.5000 0.5000 0.5000  6 Si 2.92-3.11, 8 Rh 3.17
3 Si 0.2296 0.2296 0.5000  6 Rh 2.42-2.45
4 Si 0.2704 0.7296 0.0000  6 Rh 2.42-2.45
5 Si 0.7296 0.2704 0.0000  6 Rh 2.42-2.45
6 Si 0.7704 0.7704 0.5000  6 Rh 2.42-2.45
7 Rh 0.0717 0.6734 0.5000  3 Si 2.42-2.45
8 Rh 0.1734 0.4283 0.0000  3 Si 2.42-2.45
9 Rh 0.3266 0.9283 0.5000  3 Si 2.42-2.45
10 Rh 0.4283 0.1734 0.0000  3 Si 2.42-2.45
11 Rh 0.5717 0.8266 0.0000  3 Si 2.42-2.45
12 Rh 0.6734 0.0717 0.5000  3 Si 2.42-2.45
13 Rh 0.8266 0.5717 0.0000  3 Si 2.42-2.45
14 Rh 0.9283 0.3266 0.5000  3 Si 2.42-2.45

---

Which structure is the most stable? The one labeled #1.